A relaxed Eu2TlIn crystal. Source: Alexandria via LeMat-Bulk, functional PBE.

## Properties
Calculated volume, Å³ per cell: 124.9
Energy relative to the elements, eV per atom: -0.45
Space-group type: Fm-3m
Total moment, μB per formula unit: 14.31

Lattice parameters (Å, degrees): 5.6102 5.6102 5.6102 60.00 60.00 60.00
Closest atoms and distances in Å follow each position.
Fractional positions:
Eu (0.5000, 0.5000, 0.5000)  4 Tl 3.44, 4 In 3.44
Eu (0.0000, 0.0000, 0.0000)  4 Tl 3.44, 4 In 3.44
Tl (0.7500, 0.7500, 0.7500)  8 Eu 3.44
In (0.2500, 0.2500, 0.2500)  8 Eu 3.44